Entry 1:
Entry from Alexandria via LeMat-Bulk: crystalline PrEr3Fe at its relaxed geometry (PBE).

Values from the calculation:
- space-group type = No. 221

POSCAR file:
```
PrEr3Fe
1.0
5.2581 0.0000 0.0000
0.0000 5.2581 0.0000
0.0000 0.0000 5.2581
Pr Er Fe
1 3 1
Cartesian
0.0000 0.0000 0.0000
0.0000 2.6290 2.6290
2.6290 0.0000 2.6290
2.6290 2.6290 0.0000
2.6290 2.6290 2.6290
```

Entry 2:
Entry from Alexandria via LeMat-Bulk: crystalline PrEr2Fe9 at its relaxed geometry (PBE).

Values from the calculation:
- space-group type = No. 166

POSCAR file:
```
PrEr2Fe9
1.0
2.5605 1.4783 8.0695
-2.5605 1.4783 8.0695
0.0000 -2.9566 8.0695
Pr Er Fe
1 2 9
Cartesian
0.0000 0.0000 0.0000
0.0000 0.0000 3.4474
0.0000 0.0000 20.7611
-1.2784 -0.7381 10.0833
0.0000 0.0000 8.0529
0.0000 -1.4762 14.1252
-1.2784 0.7381 14.1252
0.0000 0.0000 12.1042
1.2784 -0.7381 10.0832
0.0000 1.4762 10.0832
0.0000 0.0000 16.1556
1.2784 0.7381 14.1252
```

Entry 3:
Entry from Alexandria via LeMat-Bulk: crystalline PrEr2Fe at its relaxed geometry (PBE).

Values from the calculation:
- space-group type = No. 123

POSCAR file:
```
PrEr2Fe
1.0
3.3569 0.0000 0.0000
0.0000 3.3569 0.0000
0.0000 0.0000 9.0977
Pr Er Fe
1 2 1
Cartesian
0.0000 0.0000 0.0000
1.6784 1.6784 2.9672
1.6784 1.6784 6.1305
0.0000 0.0000 4.5488
```

Entry 4:
Entry from Alexandria via LeMat-Bulk: crystalline PrErFe at its relaxed geometry (PBE).

Values from the calculation:
- space-group type = No. 64

POSCAR file:
```
PrErFe
1.0
3.4810 -6.1108 0.0000
3.4810 6.1108 0.0000
0.0000 0.0000 7.3487
Pr Er Fe
4 4 4
Cartesian
3.4810 3.6944 6.5230
3.4810 2.4163 2.8486
3.4810 -2.4163 4.5001
3.4810 -3.6944 0.8257
1.7405 0.4930 5.5115
1.7405 -0.4930 1.8372
5.2216 0.4930 5.5115
5.2216 -0.4930 1.8372
3.4810 5.0232 3.9748
3.4810 1.0876 0.3005
3.4810 -1.0876 7.0482
3.4810 -5.0232 3.3739
```

Entry 5:
Entry from Alexandria via LeMat-Bulk: crystalline PrEr2Fe at its relaxed geometry (PBE).

Values from the calculation:
- space-group type = No. 166

POSCAR file:
```
PrEr2Fe
1.0
1.7395 1.0043 10.6452
-1.7395 1.0043 10.6452
0.0000 -2.0086 10.6452
Pr Er Fe
1 2 1
Cartesian
0.0000 0.0000 0.0000
0.0000 0.0000 3.5079
0.0000 0.0000 28.4276
0.0000 0.0000 15.9677
```

Entry 6:
Entry from Alexandria via LeMat-Bulk: crystalline PrErFe at its relaxed geometry (PBE).

Values from the calculation:
- space-group type = No. 107

POSCAR file:
```
PrErFe
1.0
-1.7197 1.7197 6.4426
1.7197 -1.7197 6.4426
1.7197 1.7197 -6.4426
Pr Er Fe
1 1 1
Cartesian
0.0000 0.0000 0.0000
0.0000 0.0000 9.5877
0.0000 0.0000 4.6831
```

Entry 7:
Entry from Alexandria via LeMat-Bulk: crystalline Er2FePt9 at its relaxed geometry (PBE).

Values from the calculation:
- space-group type = No. 123

POSCAR file:
```
Er2FePt9
1.0
4.0533 0.0000 0.0000
0.0000 4.0533 0.0000
0.0000 0.0000 12.0733
Er Fe Pt
2 1 9
Cartesian
0.0000 0.0000 2.0663
0.0000 0.0000 10.0070
0.0000 0.0000 6.0366
0.0000 2.0266 0.0000
0.0000 2.0266 4.1823
0.0000 2.0266 7.8910
2.0266 0.0000 0.0000
2.0266 0.0000 4.1823
2.0266 0.0000 7.8910
2.0266 2.0266 2.0856
2.0266 2.0266 6.0366
2.0266 2.0266 9.9876
```

Entry 8:
Entry from Alexandria via LeMat-Bulk: crystalline Er4FePt at its relaxed geometry (PBE).

Values from the calculation:
- space-group type = No. 15

POSCAR file:
```
Er4FePt
1.0
4.3960 -6.3662 0.0000
4.3960 6.3662 0.0000
-3.3189 0.0000 5.1566
Er Fe Pt
8 2 2
Cartesian
0.3074 4.1488 4.6784
0.1972 0.7981 3.6937
3.5063 4.1488 3.0564
1.8566 -0.7981 1.1154
3.6165 0.7981 4.0411
1.9668 -4.1488 2.1001
5.2759 -0.7981 1.4628
5.1657 -4.1488 0.4782
3.5663 6.3451 1.2891
1.9068 -6.3451 3.8674
3.5663 1.7388 1.2891
1.9068 -1.7388 3.8674
```

Entry 9:
Entry from Alexandria via LeMat-Bulk: crystalline Er3FePt12 at its relaxed geometry (PBE).

Values from the calculation:
- space-group type = No. 123

POSCAR file:
```
Er3FePt12
1.0
4.0656 0.0000 0.0000
0.0000 4.0656 0.0000
0.0000 0.0000 16.1706
Er Fe Pt
3 1 12
Cartesian
0.0000 0.0000 0.0000
0.0000 0.0000 4.1228
0.0000 0.0000 12.0477
0.0000 0.0000 8.0853
0.0000 2.0328 2.0690
0.0000 2.0328 6.2380
0.0000 2.0328 9.9325
0.0000 2.0328 14.1016
2.0328 0.0000 2.0690
2.0328 0.0000 6.2380
2.0328 0.0000 9.9325
2.0328 0.0000 14.1016
2.0328 2.0328 0.0000
2.0328 2.0328 4.1522
2.0328 2.0328 8.0853
2.0328 2.0328 12.0184
```

Entry 10:
Entry from Alexandria via LeMat-Bulk: crystalline ErPuFePt at its relaxed geometry (PBE).

Values from the calculation:
- space-group type = No. 216

POSCAR file:
```
ErPuFePt
1.0
0.0000 3.4254 3.4254
3.4254 0.0000 3.4254
3.4254 3.4254 0.0000
Er Pu Fe Pt
1 1 1 1
Cartesian
0.0000 0.0000 0.0000
3.4254 3.4254 3.4254
5.1382 5.1382 5.1382
1.7127 1.7127 1.7127
```

Entry 11:
Entry from Alexandria via LeMat-Bulk: crystalline Er3PuFe at its relaxed geometry (PBE).

Values from the calculation:
- space-group type = No. 221

POSCAR file:
```
Er3PuFe
1.0
5.2001 0.0000 0.0000
0.0000 5.2001 0.0000
0.0000 0.0000 5.2001
Er Pu Fe
3 1 1
Cartesian
0.0000 0.0000 2.6000
0.0000 2.6000 0.0000
2.6000 0.0000 0.0000
2.6000 2.6000 2.6000
0.0000 0.0000 0.0000
```

Entry 12:
Entry from Alexandria via LeMat-Bulk: crystalline Er2PuFe2 at its relaxed geometry (PBE).

Values from the calculation:
- space-group type = No. 15

POSCAR file:
```
Er2PuFe2
1.0
4.7729 -2.8517 0.0000
4.7729 2.8517 0.0000
-1.3738 0.0000 7.3709
Er Pu Fe
4 2 4
Cartesian
1.2427 0.6744 1.1133
0.5558 -0.6744 4.7987
7.6163 0.6744 2.5722
6.9294 -0.6744 6.2576
4.4295 0.6439 1.8427
3.7426 -0.6439 5.5282
2.8838 0.7218 3.6276
2.1969 -0.7218 7.3130
5.9752 0.7218 0.0579
5.2883 -0.7218 3.7433
```

Entry 13:
Entry from Alexandria via LeMat-Bulk: crystalline ErPu2Fe at its relaxed geometry (PBE).

Values from the calculation:
- space-group type = No. 123

POSCAR file:
```
ErPu2Fe
1.0
3.2915 0.0000 0.0000
0.0000 3.2915 0.0000
0.0000 0.0000 8.6570
Er Pu Fe
1 2 1
Cartesian
0.0000 0.0000 0.0000
1.6457 1.6457 2.6560
1.6457 1.6457 6.0010
0.0000 0.0000 4.3285
```

Entry 14:
Entry from Alexandria via LeMat-Bulk: crystalline Er2PuFe at its relaxed geometry (PBE).

Values from the calculation:
- space-group type = No. 123

POSCAR file:
```
Er2PuFe
1.0
3.3053 0.0000 0.0000
0.0000 3.3053 0.0000
0.0000 0.0000 8.6910
Er Pu Fe
2 1 1
Cartesian
0.0000 0.0000 1.6041
0.0000 0.0000 7.0870
1.6527 1.6527 4.3455
1.6527 1.6527 0.0000
```

Entry 15:
Entry from Alexandria via LeMat-Bulk: crystalline ErPu2Fe at its relaxed geometry (PBE).

Values from the calculation:
- space-group type = No. 166

POSCAR file:
```
ErPu2Fe
1.0
1.7967 1.0373 8.8970
-1.7967 1.0373 8.8970
0.0000 -2.0746 8.8970
Er Pu Fe
1 2 1
Cartesian
0.0000 0.0000 0.0000
0.0000 0.0000 6.0418
0.0000 0.0000 20.6493
0.0000 0.0000 13.3456
```

Entry 16:
Entry from Alexandria via LeMat-Bulk: crystalline ErPu3Fe at its relaxed geometry (PBE).

Values from the calculation:
- space-group type = No. 221

POSCAR file:
```
ErPu3Fe
1.0
5.1189 0.0000 0.0000
0.0000 5.1189 0.0000
0.0000 0.0000 5.1189
Er Pu Fe
1 3 1
Cartesian
0.0000 0.0000 0.0000
0.0000 2.5595 2.5595
2.5595 0.0000 2.5595
2.5595 2.5595 0.0000
2.5595 2.5595 2.5595
```

Entry 17:
Entry from Alexandria via LeMat-Bulk: crystalline Er2PuFe at its relaxed geometry (PBE).

Values from the calculation:
- space-group type = No. 166

POSCAR file:
```
Er2PuFe
1.0
1.7299 0.9988 9.6467
-1.7299 0.9988 9.6467
0.0000 -1.9975 9.6467
Er Pu Fe
2 1 1
Cartesian
0.0000 0.0000 6.6531
0.0000 0.0000 22.2870
0.0000 0.0000 0.0000
0.0000 0.0000 14.4700
```

Entry 18:
Entry from Alexandria via LeMat-Bulk: crystalline Er2PuFe at its relaxed geometry (PBE).

Values from the calculation:
- space-group type = No. 62

POSCAR file:
```
Er2PuFe
1.0
6.8324 0.0000 0.0000
0.0000 9.3154 0.0000
0.0000 0.0000 6.0814
Er Pu Fe
8 4 4
Cartesian
1.1603 0.6224 1.0816
1.1603 4.0353 1.0816
2.2559 5.2801 4.1223
2.2559 8.6930 4.1223
4.5765 0.6224 1.9591
4.5765 4.0353 1.9591
5.6721 5.2801 4.9998
5.6721 8.6930 4.9998
0.3765 2.3289 4.0514
3.0397 6.9866 1.0106
3.7927 2.3289 5.0708
6.4559 6.9866 2.0301
0.9419 6.9866 0.0338
2.4743 2.3289 3.0745
4.3581 6.9866 3.0069
5.8905 2.3289 6.0477
```

Entry 19:
Entry from Alexandria via LeMat-Bulk: crystalline Er3Pu2Fe4 at its relaxed geometry (PBE).

Values from the calculation:
- space-group type = No. 12

POSCAR file:
```
Er3Pu2Fe4
1.0
5.3226 -2.0009 0.0000
5.3226 2.0009 0.0000
-1.8319 0.0000 8.2042
Er Pu Fe
3 2 4
Cartesian
0.0000 0.0000 0.0000
2.8621 0.0000 5.0672
5.9512 0.0000 3.1371
3.0876 0.0000 1.7989
5.7257 0.0000 6.4053
-0.2464 0.0000 5.1808
1.2171 0.0000 7.4602
7.5962 0.0000 0.7440
9.0597 0.0000 3.0234
```

Entry 20:
Entry from Alexandria via LeMat-Bulk: crystalline ErPuFeRu at its relaxed geometry (PBE).

Values from the calculation:
- space-group type = No. 216

POSCAR file:
```
ErPuFeRu
1.0
0.0000 3.3616 3.3616
3.3616 0.0000 3.3616
3.3616 3.3616 0.0000
Er Pu Fe Ru
1 1 1 1
Cartesian
0.0000 0.0000 0.0000
3.3616 3.3616 3.3616
5.0424 5.0424 5.0424
1.6808 1.6808 1.6808
```

| no. | ΔH_f (0 K) (meV/atom) | volume (Å³/cell) |
| --- | --- | --- |
| 1 | 75 | 145.4 |
| 2 | -42 | 183.3 |
| 3 | 46 | 102.5 |
| 4 | 65 | 312.6 |
| 5 | 291 | 111.6 |
| 6 | 132 | 76.2 |
| 7 | -772 | 198.4 |
| 8 | -479 | 288.6 |
| 9 | -845 | 267.3 |
| 10 | -401 | 80.4 |
| 11 | 194 | 140.6 |
| 12 | -108 | 200.6 |
| 13 | 124 | 93.8 |
| 14 | 109 | 95.0 |
| 15 | 216 | 99.5 |
| 16 | 230 | 134.1 |
| 17 | 283 | 100.0 |
| 18 | -79 | 387.1 |
| 19 | -137 | 174.7 |
| 20 | -125 | 76.0 |